Entry 1:
# AcPmZn2Au5 PBE relaxed
# Theoretical density (g/cm3): 12.36
# Crystal system: tetragonal
# DOS(E_F) (states/eV per atom): 0.306
# ΔH_f (0 K) (eV/atom): -0.522
data_AcPmZn2Au5
_chemical_formula_sum 'Ac1 Pm1 Zn2 Au5'
_symmetry_space_group_name_H-M 'P 4/m m m'
_symmetry_Int_Tables_number 123
_symmetry_space_group_name_Hall '-P 4 2'
_cell_length_a 4.6440
_cell_length_b 4.6440
_cell_length_c 9.2690
_cell_angle_alpha 90.00
_cell_angle_beta 90.00
_cell_angle_gamma 90.00
loop_
_atom_site_label
_atom_site_fract_x
_atom_site_fract_y
_atom_site_fract_z
Ac1 0.0000 0.0000 0.0000
Pm1 0.0000 0.0000 0.5000
Zn1 0.5000 0.5000 0.3694
Au1 0.0000 0.5000 0.2465
Au2 0.5000 0.5000 0.0000

=====

Entry 2:
# NaTm2GeO5 PBE relaxed
# Theoretical density (g/cm3): 7.18
# Formation energy (no corrections) (eV/atom): -2.44
# Crystal system: tetragonal
# DOS(E_F) (states/eV per atom): 0.304
data_NaTm2GeO5
_chemical_formula_sum 'Na4 Tm8 Ge4 O20'
_symmetry_space_group_name_H-M 'I 4/m c m'
_symmetry_Int_Tables_number 140
_symmetry_space_group_name_Hall '-I 4 2c'
_cell_length_a 6.4486
_cell_length_b 6.4486
_cell_length_c 11.4157
_cell_angle_alpha 90.00
_cell_angle_beta 90.00
_cell_angle_gamma 90.00
loop_
_atom_site_label
_atom_site_fract_x
_atom_site_fract_y
_atom_site_fract_z
Na1 0.0000 0.0000 0.2500
Tm1 0.1775 0.3225 0.0000
Ge1 0.0000 0.5000 0.2500
O1 0.0000 0.0000 0.0000
O2 0.1408 0.3592 0.3748

=====

Entry 3:
# As5P4 PBE relaxed
# Theoretical density (g/cm3): 5.30
# Crystal system: tetragonal
# DOS(E_F) (states/eV per atom): 0.611
# ΔE to the lowest computed polymorph (meV/atom): 137.0
# ΔH_f (0 K) (eV/atom): 0.580
data_As5P4
_chemical_formula_sum 'As10 P8'
_symmetry_space_group_name_H-M 'I 4/m m m'
_symmetry_Int_Tables_number 139
_symmetry_space_group_name_Hall '-I 4 2'
_cell_length_a 9.6566
_cell_length_b 9.6566
_cell_length_c 3.3503
_cell_angle_alpha 90.00
_cell_angle_beta 90.00
_cell_angle_gamma 90.00
loop_
_atom_site_label
_atom_site_fract_x
_atom_site_fract_y
_atom_site_fract_z
As1 0.0000 0.0000 0.0000
As2 0.1682 0.1682 0.5000
P1 0.0000 0.3613 0.0000

=====

Q: Among the records above, which one has the highest DOS(E_F)?
A: As5P4

=====

Copy entry 1 word for word.
# AcPmZn2Au5 PBE relaxed
# Theoretical density (g/cm3): 12.36
# Crystal system: tetragonal
# DOS(E_F) (states/eV per atom): 0.306
# ΔH_f (0 K) (eV/atom): -0.522
data_AcPmZn2Au5
_chemical_formula_sum 'Ac1 Pm1 Zn2 Au5'
_symmetry_space_group_name_H-M 'P 4/m m m'
_symmetry_Int_Tables_number 123
_symmetry_space_group_name_Hall '-P 4 2'
_cell_length_a 4.6440
_cell_length_b 4.6440
_cell_length_c 9.2690
_cell_angle_alpha 90.00
_cell_angle_beta 90.00
_cell_angle_gamma 90.00
loop_
_atom_site_label
_atom_site_fract_x
_atom_site_fract_y
_atom_site_fract_z
Ac1 0.0000 0.0000 0.0000
Pm1 0.0000 0.0000 0.5000
Zn1 0.5000 0.5000 0.3694
Au1 0.0000 0.5000 0.2465
Au2 0.5000 0.5000 0.0000

=====

Please write out number 1 again, unchanged.
# AcPmZn2Au5 PBE relaxed
# Theoretical density (g/cm3): 12.36
# Crystal system: tetragonal
# DOS(E_F) (states/eV per atom): 0.306
# ΔH_f (0 K) (eV/atom): -0.522
data_AcPmZn2Au5
_chemical_formula_sum 'Ac1 Pm1 Zn2 Au5'
_symmetry_space_group_name_H-M 'P 4/m m m'
_symmetry_Int_Tables_number 123
_symmetry_space_group_name_Hall '-P 4 2'
_cell_length_a 4.6440
_cell_length_b 4.6440
_cell_length_c 9.2690
_cell_angle_alpha 90.00
_cell_angle_beta 90.00
_cell_angle_gamma 90.00
loop_
_atom_site_label
_atom_site_fract_x
_atom_site_fract_y
_atom_site_fract_z
Ac1 0.0000 0.0000 0.0000
Pm1 0.0000 0.0000 0.5000
Zn1 0.5000 0.5000 0.3694
Au1 0.0000 0.5000 0.2465
Au2 0.5000 0.5000 0.0000

=====

Q: Which formula does entry 1 have?
A: AcPmZn2Au5